Ce3Pr2NdBi6 | GGA-PBE | relaxed

Properties
Density of states at the Fermi level in states/eV per atom: 1.67
E_form in eV/atom: -0.88

Geometry as POSCAR:
```
Ce3Pr2NdBi6
1.0
-1.0337 0.3605 7.9208
-3.0752 -6.0974 -4.1597
7.7407 -1.9888 -0.2450
Bi Ce Pr Nd
6 3 2 1
direct
0.9156 0.5833 0.7465
0.4167 0.0844 0.2535
0.2474 0.2474 0.7459
0.7526 0.7526 0.2541
0.5833 0.9156 0.7465
0.0844 0.4167 0.2535
0.5000 0.5000 0.5000
0.8328 0.1672 0.5000
0.1672 0.8328 0.5000
0.3336 0.6664 0.0000
0.6664 0.3336 0.0000
0.0000 0.0000 0.0000
```



BeCoAg3 | GGA-PBE | relaxed

Properties
Density of states at the Fermi level in states/eV per atom: 0.65
Polymorph energy (0 for the lowest one) in eV/atom: 0.0000
E_form in eV/atom: 0.73

Geometry as POSCAR:
```
BeCoAg3
1.0
4.3571 0.0000 0.0000
0.0000 4.3571 0.0000
0.0000 0.0000 4.3571
Be Ag Co
1 3 1
direct
0.0000 0.0000 0.0000
0.5000 0.0000 0.0000
0.0000 0.5000 0.0000
0.0000 0.0000 0.5000
0.5000 0.5000 0.5000
```



Hf2AlTc | GGA-PBE | relaxed

Properties
Density of states at the Fermi level in states/eV per atom: 0.27
E_form in eV/atom: -0.50

Geometry as POSCAR:
```
Hf2AlTc
1.0
-0.0597 2.7065 1.9586
-2.8433 0.9874 -1.4510
-3.4099 -3.2903 4.4427
Hf Tc Al
2 1 1
direct
0.0000 0.0000 0.2373
0.0000 0.0000 0.7627
0.5000 0.5000 0.0000
0.5000 0.5000 0.5000
```



V2ReCS | GGA-PBE | relaxed

Properties
Density of states at the Fermi level in states/eV per atom: 1.32
Formation energy (no corrections) in kcal/mol of atoms: 6.89

Geometry as POSCAR:
```
V2ReCS
1.0
-0.0701 -3.9021 0.9052
3.6123 -0.4702 -1.7468
1.7926 0.7791 3.4972
Re S V C
1 1 2 1
direct
0.0000 0.5000 0.0000
0.5000 0.5000 0.5000
0.0000 0.0000 0.5000
0.5000 0.0000 0.0000
0.0000 0.0000 0.0000
```



| no. | ρ (Mg/m³) |
| --- | --- |
| 1 | 8.36 |
| 2 | 7.86 |
| 3 | 11.04 |
| 4 | 8.51 |